Record 1
Below is a geometry-optimized ZnCdSb2I structure, with properties calculated at the PBE level.

abc: 5.2770 5.2770 5.7232
angles: 90.00 90.00 90.00
Each line ends with the local moment (μB).
Atoms (fractional coordinates):
I 0.0000 0.0000 0.5000  0.06
Cd 0.5000 0.5000 0.5000  0.01
Sb 0.5000 0.0000 0.0000  0.11
Sb 0.0000 0.5000 0.0000  0.11
Zn 0.0000 0.0000 0.0000  0.00

Space group: P4/mmm, No. 123
Offset from the most stable computed form in eV per formula unit: 0.00
Total DFT energy (no corrections) in eV per formula unit: -9.7



Record 2
Below is a geometry-optimized BaLaAgBi structure, with properties calculated at the PBE level.

abc: 5.7644 5.7644 5.7644
angles: 60.00 60.00 60.00
Each line ends with the local moment (μB).
Atoms (fractional coordinates):
Ag 0.2500 0.2500 0.2500  0.01
La 0.0000 0.0000 0.0000  0.12
Bi 0.7500 0.7500 0.7500  -0.02
Ba 0.5000 0.5000 0.5000  0.05

Energy of formation from the pure elements in meV per atom: -507
Space group: F-43m, No. 216
Total DFT energy (no corrections) in eV per formula unit: -15.6



Record 3
Below is a geometry-optimized Sm4Y6Zr structure, with properties calculated at the PBE level.

abc: 8.7899 8.7899 9.0655
angles: 90.00 90.00 90.00
Each line ends with the local moment (μB).
Atoms (fractional coordinates):
Zr 0.5000 0.5000 0.0000  0.54
Sm 0.3566 0.1434 0.2500  0.02
Sm 0.3566 0.1434 0.7500  0.02
Y 0.6526 0.1593 0.0000  0.03
Y 0.8407 0.6526 0.0000  0.03
Sm 0.8566 0.3566 0.7500  0.02
Y 0.5000 0.5000 0.6770  0.16
Y 0.1593 0.3474 0.0000  0.03
Y 0.1526 0.3407 0.5000  0.03
Y 0.3474 0.8407 0.0000  0.03
Y 0.5000 0.5000 0.3230  0.16
Y 0.3407 0.8474 0.5000  0.03
Zr 0.0000 0.0000 0.5000  0.54
Sm 0.8566 0.3566 0.2500  0.02
Sm 0.6434 0.8566 0.7500  0.02
Y 0.8474 0.6593 0.5000  0.03
Sm 0.1434 0.6434 0.7500  0.02
Y 0.0000 0.0000 0.1770  0.16
Y 0.0000 0.0000 0.8230  0.16
Y 0.6593 0.1526 0.5000  0.03
Sm 0.1434 0.6434 0.2500  0.02
Sm 0.6434 0.8566 0.2500  0.02

Energy of formation from the pure elements in meV per atom: 141
Space group: P4/mnc, No. 128
Total DFT energy (no corrections) in eV per formula unit: -64.7



Record 4
Below is a geometry-optimized Tm4InPd structure, with properties calculated at the PBE level.

abc: 5.9834 8.9759 7.7928
angles: 115.59 99.67 112.02
Atoms (fractional coordinates):
Tm 0.7665 0.7146 0.6538
Tm 0.6127 0.0607 0.3462
Tm 0.2430 0.6281 0.8337
Tm 0.0907 0.2056 0.8337
Pd 0.2504 0.0004 0.0009
Tm 0.3873 0.9393 0.6538
In 0.3722 0.6222 0.2444
Tm 0.7570 0.3719 0.1663
Pd 0.7496 0.9996 0.9991
Tm 0.9093 0.7944 0.1663
Tm 0.2335 0.2854 0.3462
In 0.6278 0.3778 0.7556

Energy of formation from the pure elements in meV per atom: -425
Space group: C2/c, No. 15
Offset from the most stable computed form in eV per formula unit: 0.63
Total DFT energy (no corrections) in eV per formula unit: -28.4



Record 5
Below is a geometry-optimized KY4ThS8 structure, with properties calculated at the PBE level.

abc: 8.2037 8.2037 8.3097
angles: 60.42 60.42 60.00
Atoms (fractional coordinates):
Y 0.0038 0.0038 0.5028
S 0.7555 0.2288 0.2603
Y 0.0038 0.4896 0.5028
Th 0.0033 0.0033 0.9902
K 0.3718 0.3718 0.8847
S 0.7976 0.2357 0.7311
S 0.2326 0.2326 0.3022
Y 0.4896 0.0038 0.5028
S 0.7588 0.7588 0.7237
S 0.2288 0.7555 0.2603
S 0.2357 0.7976 0.7311
S 0.2357 0.2357 0.7311
Y 0.6278 0.6278 0.1165
S 0.7555 0.7555 0.2603

Space group: R3m, No. 160
Total DFT energy (no corrections) in eV per formula unit: -93.7



Record 6
Below is a geometry-optimized PmCu2Cl4 structure, with properties calculated at the PBE level.

abc: 6.2370 6.2370 6.2370
angles: 105.74 105.74 117.22
Each line ends with the local moment (μB).
Atoms (fractional coordinates):
Cu 0.7500 0.2500 0.5000  0.00
Cl 0.8315 0.3457 0.1773  0.01
Cl 0.1685 0.6543 0.8227  0.01
Cl 0.6543 0.8315 0.4858  0.01
Pm 0.5000 0.5000 0.0000  0.42
Cu 0.2500 0.7500 0.5000  0.00
Cl 0.3457 0.1685 0.5142  0.01

Space group: I4/m, No. 87
Total DFT energy (no corrections) in eV per formula unit: -26.6



Record 7
Below is a geometry-optimized KTc2Rh structure, with properties calculated at the PBE level.

abc: 5.0088 3.7348 3.7348
angles: 90.00 90.00 90.00
Atoms (fractional coordinates):
K 0.5000 0.5000 0.0000
Tc 0.0000 0.0000 0.0000
Tc 0.0000 0.5000 0.5000
Rh 0.5000 0.0000 0.5000

Energy of formation from the pure elements in meV per atom: 1423
Space group: P4/mmm, No. 123
Offset from the most stable computed form in eV per formula unit: 3.44
Total DFT energy (no corrections) in eV per formula unit: -23.5



Record 8
Below is a geometry-optimized MgRu2 structure, with properties calculated at the PBE level.

abc: 8.1960 8.1960 8.1960
angles: 153.76 153.76 37.45
Atoms (fractional coordinates):
Mg 0.7500 0.2500 0.5000
Ru 0.1730 0.6730 0.5000
Ru 0.3270 0.8270 0.5000
Ru 0.5770 0.5770 0.0000
Mg 0.0000 0.0000 0.0000
Ru 0.4230 0.4230 0.0000

Energy of formation from the pure elements in meV per atom: 524
Space group: I4_1/amd, No. 141
Total DFT energy (no corrections) in eV per formula unit: -18.6